No. 1
Density functional theory data (GGA-PBE) for a relaxed structure of SrErCu.

Properties
Crystal system: monoclinic
Total magnetization in μB/atom: 0.000
Density in g/cm³: 5.25
Space group: C2/m, No. 12
Energy relative to the elements in meV/atom: -4

Cell: 11.183 11.183 7.298 Å, 93.96 93.96 26.25°
Sites, in units of the cell vectors:
Sr (0.075, 0.075, 0.274)
Sr (0.414, 0.414, 0.204)
Sr (0.586, 0.586, 0.796)
Sr (0.925, 0.925, 0.726)
Er (0.209, 0.209, 0.612)
Er (0.234, 0.234, 0.135)
Er (0.766, 0.766, 0.865)
Er (0.791, 0.791, 0.388)
Cu (0.321, 0.321, 0.854)
Cu (0.330, 0.330, 0.526)
Cu (0.670, 0.670, 0.474)
Cu (0.679, 0.679, 0.146)

---

No. 2
Density functional theory data (GGA-PBE) for a relaxed structure of SrErCu.

Properties
Crystal system: tetragonal
Total magnetization in μB/atom: 0.000
Density in g/cm³: 6.10
Space group: I4mm, No. 107
Energy relative to the elements in meV/atom: -30

Cell: 7.037 7.037 7.037 Å, 150.05 150.05 42.86°
Sites, in units of the cell vectors:
Sr (0.000, 0.000, 0.000)
Er (0.267, 0.267, 0.000)
Cu (0.666, 0.666, 0.000)

---

No. 3
Density functional theory data (GGA-PBE) for a relaxed structure of SrErCu2.

Properties
Crystal system: tetragonal
Total magnetization in μB/atom: 0.000
Density in g/cm³: 6.93
Space group: P4/mmm, No. 123
Energy relative to the elements in meV/atom: -48

Cell: 5.109 5.109 3.507 Å, 90.00 90.00 90.00°
Sites, in units of the cell vectors:
Sr (0.000, 0.000, 0.000)
Er (0.500, 0.500, 0.000)
Cu (0.000, 0.500, 0.500)
Cu (0.500, 0.000, 0.500)

---

No. 4
Density functional theory data (GGA-PBE) for a relaxed structure of SrEr3Cu.

Properties
Crystal system: cubic
Total magnetization in μB/atom: 0.000
Density in g/cm³: 6.67
Space group: Pm-3m, No. 221
Energy relative to the elements in meV/atom: 113

Cell: 5.457 5.457 5.457 Å, 90.00 90.00 90.00°
Sites, in units of the cell vectors:
Sr (0.000, 0.000, 0.000)
Er (0.000, 0.500, 0.500)
Er (0.500, 0.000, 0.500)
Er (0.500, 0.500, 0.000)
Cu (0.500, 0.500, 0.500)

---

No. 5
Density functional theory data (GGA-PBE) for a relaxed structure of SrEr2Cu.

Properties
Crystal system: tetragonal
Total magnetization in μB/atom: 0.000
Density in g/cm³: 6.77
Space group: P4/mmm, No. 123
Energy relative to the elements in meV/atom: 1

Cell: 3.546 3.546 9.480 Å, 90.00 90.00 90.00°
Sites, in units of the cell vectors:
Sr (0.000, 0.000, 0.000)
Er (0.500, 0.500, 0.329)
Er (0.500, 0.500, 0.671)
Cu (0.000, 0.000, 0.500)

---

No. 6
Density functional theory data (GGA-PBE) for a relaxed structure of SrErCu2Te4.

Properties
Crystal system: orthorhombic
Total magnetization in μB/atom: 0.000
Density in g/cm³: 6.17
Formation energy without anion corrections in meV/atom: -674
Space group: I222, No. 23

Cell: 6.825 6.825 6.825 Å, 117.31 109.46 102.01°
Sites, in units of the cell vectors:
Sr (0.000, 0.000, 0.000)
Er (0.500, 0.500, 0.000)
Cu (0.349, 0.849, 0.500)
Cu (0.651, 0.151, 0.500)
Te (0.081, 0.062, 0.548)
Te (0.486, 0.938, 0.018)
Te (0.514, 0.533, 0.452)
Te (0.919, 0.467, 0.982)

---

No. 7
Density functional theory data (GGA-PBE) for a relaxed structure of SrErZnCu.

Properties
Crystal system: cubic
Total magnetization in μB/atom: 0.000
Density in g/cm³: 6.58
Space group: F-43m, No. 216
Energy relative to the elements in meV/atom: -87

Cell: 5.154 5.154 5.154 Å, 60.00 60.00 60.00°
Sites, in units of the cell vectors:
Sr (0.000, 0.000, 0.000)
Er (0.500, 0.500, 0.500)
Zn (0.250, 0.250, 0.250)
Cu (0.750, 0.750, 0.750)

---

No. 8
Density functional theory data (GGA-PBE) for a relaxed structure of Tb3ErCu2.

Properties
Crystal system: orthorhombic
Total magnetization in μB/atom: 0.000
Density in g/cm³: 8.69
Space group: Pmc2_1, No. 26
Energy relative to the elements in meV/atom: -161

Cell: 4.918 8.726 6.863 Å, 90.00 90.00 90.00°
Sites, in units of the cell vectors:
Tb (0.000, 0.076, 0.000)
Tb (0.000, 0.337, 0.367)
Tb (0.000, 0.663, 0.867)
Tb (0.000, 0.924, 0.500)
Tb (0.500, 0.165, 0.657)
Tb (0.500, 0.835, 0.157)
Er (0.500, 0.426, 0.025)
Er (0.500, 0.574, 0.525)
Cu (0.000, 0.349, 0.774)
Cu (0.000, 0.651, 0.274)
Cu (0.500, 0.155, 0.250)
Cu (0.500, 0.845, 0.750)

---

No. 9
Density functional theory data (GGA-PBE) for a relaxed structure of TbErCu.

Properties
Crystal system: tetragonal
Total magnetization in μB/atom: 0.029
Density in g/cm³: 8.78
Space group: I4mm, No. 107
Energy relative to the elements in meV/atom: -132

Cell: 6.615 6.615 6.615 Å, 149.66 149.66 43.45°
Sites, in units of the cell vectors:
Tb (0.000, 0.000, 0.000)
Er (0.278, 0.278, 0.000)
Cu (0.645, 0.645, 0.000)

---

No. 10
Density functional theory data (GGA-PBE) for a relaxed structure of TbErCu.

Properties
Crystal system: cubic
Total magnetization in μB/atom: 0.000
Density in g/cm³: 8.12
Space group: F-43m, No. 216
Energy relative to the elements in meV/atom: 49

Cell: 4.830 4.830 4.830 Å, 60.00 60.00 60.00°
Sites, in units of the cell vectors:
Tb (0.000, 0.000, 0.000)
Er (0.500, 0.500, 0.500)
Cu (0.250, 0.250, 0.250)

---

No. 11
Density functional theory data (GGA-PBE) for a relaxed structure of Tb3Er4Cu4.

Properties
Crystal system: orthorhombic
Total magnetization in μB/atom: 0.000
Density in g/cm³: 8.83
Space group: Immm, No. 71
Energy relative to the elements in meV/atom: -94

Cell: 8.679 8.679 8.679 Å, 147.90 130.14 60.55°
Sites, in units of the cell vectors:
Tb (0.000, 0.000, 0.000)
Tb (0.396, 0.896, 0.500)
Tb (0.604, 0.104, 0.500)
Er (0.047, 0.328, 0.719)
Er (0.392, 0.672, 0.719)
Er (0.608, 0.328, 0.281)
Er (0.953, 0.672, 0.281)
Cu (0.202, 0.202, 0.000)
Cu (0.332, 0.500, 0.832)
Cu (0.668, 0.500, 0.168)
Cu (0.798, 0.798, 0.000)

---

No. 12
Density functional theory data (GGA-PBE) for a relaxed structure of Tb2ErCu2.

Properties
Crystal system: orthorhombic
Total magnetization in μB/atom: 0.000
Density in g/cm³: 8.86
Space group: Cmcm, No. 63
Energy relative to the elements in meV/atom: -165

Cell: 13.100 13.100 5.043 Å, 90.00 90.00 164.62°
Sites, in units of the cell vectors:
Tb (0.047, 0.953, 0.750)
Tb (0.230, 0.770, 0.750)
Tb (0.770, 0.230, 0.250)
Tb (0.953, 0.047, 0.250)
Er (0.141, 0.859, 0.250)
Er (0.859, 0.141, 0.750)
Cu (0.360, 0.640, 0.250)
Cu (0.453, 0.547, 0.750)
Cu (0.547, 0.453, 0.250)
Cu (0.640, 0.360, 0.750)

---

No. 13
Density functional theory data (GGA-PBE) for a relaxed structure of Tb4ErCu4.

Properties
Crystal system: tetragonal
Total magnetization in μB/atom: 0.000
Density in g/cm³: 8.05
Space group: P4_2/n, No. 86
Energy relative to the elements in meV/atom: -37

Cell: 8.517 8.517 6.013 Å, 90.00 90.00 90.00°
Sites, in units of the cell vectors:
Tb (0.050, 0.663, 0.150)
Tb (0.163, 0.950, 0.650)
Tb (0.337, 0.550, 0.650)
Tb (0.450, 0.837, 0.150)
Tb (0.550, 0.163, 0.850)
Tb (0.663, 0.450, 0.350)
Tb (0.837, 0.050, 0.350)
Tb (0.950, 0.337, 0.850)
Er (0.250, 0.250, 0.250)
Er (0.750, 0.750, 0.750)
Cu (0.021, 0.623, 0.619)
Cu (0.123, 0.979, 0.119)
Cu (0.377, 0.521, 0.119)
Cu (0.479, 0.877, 0.619)
Cu (0.521, 0.123, 0.381)
Cu (0.623, 0.479, 0.881)
Cu (0.877, 0.021, 0.881)
Cu (0.979, 0.377, 0.381)

---

No. 14
Density functional theory data (GGA-PBE) for a relaxed structure of Tb3Er2Cu3.

Properties
Crystal system: orthorhombic
Total magnetization in μB/atom: 0.000
Density in g/cm³: 8.86
Space group: Immm, No. 71
Energy relative to the elements in meV/atom: -153

Cell: 10.867 10.867 10.867 Å, 161.30 152.81 33.21°
Sites, in units of the cell vectors:
Tb (0.000, 0.000, 0.000)
Tb (0.383, 0.883, 0.500)
Tb (0.617, 0.117, 0.500)
Er (0.227, 0.227, 0.000)
Er (0.773, 0.773, 0.000)
Cu (0.116, 0.616, 0.500)
Cu (0.500, 0.500, 0.000)
Cu (0.884, 0.384, 0.500)

---

No. 15
Density functional theory data (GGA-PBE) for a relaxed structure of TbEr2Cu9.

Properties
Crystal system: trigonal
Total magnetization in μB/atom: 0.000
Density in g/cm³: 9.31
Space group: R-3m, No. 166
Energy relative to the elements in meV/atom: -213

Cell: 8.807 8.807 8.807 Å, 33.96 33.96 33.96°
Sites, in units of the cell vectors:
Tb (0.000, 0.000, 0.000)
Er (0.141, 0.141, 0.141)
Er (0.859, 0.859, 0.859)
Cu (0.082, 0.583, 0.583)
Cu (0.332, 0.332, 0.332)
Cu (0.417, 0.417, 0.918)
Cu (0.417, 0.918, 0.417)
Cu (0.500, 0.500, 0.500)
Cu (0.583, 0.082, 0.583)
Cu (0.583, 0.583, 0.082)
Cu (0.668, 0.668, 0.668)
Cu (0.918, 0.417, 0.417)

---

No. 16
Density functional theory data (GGA-PBE) for a relaxed structure of TbEr2Cu4.

Properties
Crystal system: tetragonal
Total magnetization in μB/atom: 0.000
Density in g/cm³: 8.60
Space group: I4/mmm, No. 139
Energy relative to the elements in meV/atom: -15

Cell: 6.458 6.458 6.458 Å, 132.35 132.35 69.67°
Sites, in units of the cell vectors:
Tb (0.000, 0.000, 0.000)
Er (0.299, 0.299, 0.000)
Er (0.701, 0.701, 0.000)
Cu (0.124, 0.624, 0.500)
Cu (0.376, 0.876, 0.500)
Cu (0.624, 0.124, 0.500)
Cu (0.876, 0.376, 0.500)

---

No. 17
Density functional theory data (GGA-PBE) for a relaxed structure of Tb2ErCu9.

Properties
Crystal system: trigonal
Total magnetization in μB/atom: 0.000
Density in g/cm³: 9.19
Space group: R-3m, No. 166
Energy relative to the elements in meV/atom: -198

Cell: 8.866 8.866 8.866 Å, 33.70 33.70 33.70°
Sites, in units of the cell vectors:
Tb (0.141, 0.141, 0.141)
Tb (0.859, 0.859, 0.859)
Er (0.000, 0.000, 0.000)
Cu (0.082, 0.581, 0.581)
Cu (0.332, 0.332, 0.332)
Cu (0.419, 0.419, 0.918)
Cu (0.419, 0.918, 0.419)
Cu (0.500, 0.500, 0.500)
Cu (0.581, 0.082, 0.581)
Cu (0.581, 0.581, 0.082)
Cu (0.668, 0.668, 0.668)
Cu (0.918, 0.419, 0.419)

---

No. 18
Density functional theory data (GGA-PBE) for a relaxed structure of Tb5ErCu6.

Properties
Crystal system: orthorhombic
Total magnetization in μB/atom: 0.000
Density in g/cm³: 8.85
Space group: Cmmm, No. 65
Energy relative to the elements in meV/atom: -248

Cell: 7.808 7.808 6.893 Å, 90.00 90.00 143.14°
Sites, in units of the cell vectors:
Tb (0.000, 0.000, 0.000)
Tb (0.333, 0.667, 0.000)
Tb (0.334, 0.666, 0.500)
Tb (0.666, 0.334, 0.500)
Tb (0.667, 0.333, 0.000)
Er (0.000, 0.000, 0.500)
Cu (0.165, 0.835, 0.251)
Cu (0.165, 0.835, 0.749)
Cu (0.500, 0.500, 0.253)
Cu (0.500, 0.500, 0.747)
Cu (0.835, 0.165, 0.251)
Cu (0.835, 0.165, 0.749)

---

No. 19
Density functional theory data (GGA-PBE) for a relaxed structure of Tb2ErCu.

Properties
Crystal system: trigonal
Total magnetization in μB/atom: 0.078
Density in g/cm³: 8.24
Space group: R3m, No. 160
Energy relative to the elements in meV/atom: 39

Cell: 9.959 9.959 9.959 Å, 20.94 20.94 20.94°
Sites, in units of the cell vectors:
Tb (0.000, 0.000, 0.000)
Tb (0.196, 0.196, 0.196)
Er (0.764, 0.764, 0.764)
Cu (0.598, 0.598, 0.598)

---

No. 20
Density functional theory data (GGA-PBE) for a relaxed structure of Tb4Er3Cu4.

Properties
Crystal system: orthorhombic
Total magnetization in μB/atom: 0.000
Density in g/cm³: 8.71
Space group: Immm, No. 71
Energy relative to the elements in meV/atom: -68

Cell: 8.713 8.713 8.713 Å, 147.84 130.50 60.26°
Sites, in units of the cell vectors:
Tb (0.049, 0.828, 0.221)
Tb (0.393, 0.172, 0.221)
Tb (0.607, 0.828, 0.779)
Tb (0.951, 0.172, 0.779)
Er (0.000, 0.500, 0.500)
Er (0.397, 0.397, 0.000)
Er (0.603, 0.603, 0.000)
Cu (0.199, 0.699, 0.500)
Cu (0.333, 0.000, 0.333)
Cu (0.667, 0.000, 0.667)
Cu (0.801, 0.301, 0.500)

---

No. 21
Density functional theory data (GGA-PBE) for a relaxed structure of TbEr3Cu4.

Properties
Crystal system: orthorhombic
Total magnetization in μB/atom: 0.000
Density in g/cm³: 9.27
Space group: Pmmm, No. 47
Energy relative to the elements in meV/atom: -268

Cell: 3.434 4.885 9.767 Å, 90.00 90.00 90.00°
Sites, in units of the cell vectors:
Tb (0.000, 0.000, 0.000)
Er (0.000, 0.000, 0.500)
Er (0.000, 0.500, 0.251)
Er (0.000, 0.500, 0.749)
Cu (0.500, 0.000, 0.253)
Cu (0.500, 0.000, 0.747)
Cu (0.500, 0.500, 0.000)
Cu (0.500, 0.500, 0.500)

---

No. 22
Density functional theory data (GGA-PBE) for a relaxed structure of TbEr4Cu4.

Properties
Crystal system: tetragonal
Total magnetization in μB/atom: 0.000
Density in g/cm³: 8.28
Space group: P4_2/n, No. 86
Energy relative to the elements in meV/atom: -43

Cell: 8.712 8.712 5.722 Å, 90.00 90.00 90.00°
Sites, in units of the cell vectors:
Tb (0.250, 0.250, 0.250)
Tb (0.750, 0.750, 0.750)
Er (0.065, 0.662, 0.152)
Er (0.162, 0.935, 0.652)
Er (0.338, 0.565, 0.652)
Er (0.435, 0.838, 0.152)
Er (0.565, 0.162, 0.848)
Er (0.662, 0.435, 0.348)
Er (0.838, 0.065, 0.348)
Er (0.935, 0.338, 0.848)
Cu (0.026, 0.615, 0.635)
Cu (0.115, 0.974, 0.135)
Cu (0.385, 0.526, 0.135)
Cu (0.474, 0.885, 0.635)
Cu (0.526, 0.115, 0.365)
Cu (0.615, 0.474, 0.865)
Cu (0.885, 0.026, 0.865)
Cu (0.974, 0.385, 0.365)

---

No. 23
Density functional theory data (GGA-PBE) for a relaxed structure of Tb2ErCu.

Properties
Crystal system: trigonal
Total magnetization in μB/atom: 0.000
Density in g/cm³: 8.35
Space group: R-3m, No. 166
Energy relative to the elements in meV/atom: 37

Cell: 10.137 10.137 10.137 Å, 20.24 20.24 20.24°
Sites, in units of the cell vectors:
Tb (0.236, 0.236, 0.236)
Tb (0.764, 0.764, 0.764)
Er (0.000, 0.000, 0.000)
Cu (0.500, 0.500, 0.500)

---

No. 24
Density functional theory data (GGA-PBE) for a relaxed structure of Tb2ErCu2.

Properties
Crystal system: monoclinic
Total magnetization in μB/atom: 0.000
Density in g/cm³: 8.73
Space group: C2/m, No. 12
Energy relative to the elements in meV/atom: -144

Cell: 6.205 6.205 10.027 Å, 117.32 117.32 43.95°
Sites, in units of the cell vectors:
Tb (0.038, 0.038, 0.192)
Tb (0.181, 0.181, 0.591)
Tb (0.819, 0.819, 0.409)
Tb (0.962, 0.962, 0.808)
Er (0.309, 0.309, 0.148)
Er (0.691, 0.691, 0.852)
Cu (0.375, 0.375, 0.922)
Cu (0.446, 0.446, 0.586)
Cu (0.554, 0.554, 0.414)
Cu (0.625, 0.625, 0.078)